(1)
A plane-wave DFT calculation with GGA-PBE was carried out for a relaxed Dy2HoEr6Sc3 crystal.

Summary:
V in Å³ per cell: 349.7
SG: C2/m (12)
Crystal system: monoclinic
E_form in meV per atom: 43
N(E_F) in states/eV/atom: 1.525
Total energy in eV/cell: -59.6

Structure (POSCAR):
```
Dy2HoEr6Sc3
1.0
-4.527 2.539 3.002
1.139 -5.847 0.683
8.078 3.447 7.271
Sc Ho Er Dy
3 1 6 2
Direct
0.833 0.167 0.500
0.500 0.500 0.500
0.167 0.833 0.500
0.000 0.000 0.000
0.086 0.420 0.259
0.420 0.086 0.259
0.247 0.247 0.741
0.753 0.753 0.259
0.580 0.914 0.741
0.914 0.580 0.741
0.667 0.333 0.000
0.333 0.667 0.000
```

=====

(2)
A plane-wave DFT calculation with GGA-PBE was carried out for a relaxed MoOs5 crystal.

Summary:
V in Å³ per cell: 87.1
SG: Cm (8)
Crystal system: monoclinic
ΔE to the lowest computed polymorph in meV/atom: 4
E_form in meV per atom: -27
N(E_F) in states/eV/atom: 0.666
Total energy in eV/cell: -67.1

Structure (POSCAR):
```
MoOs5
1.0
2.761 0.000 0.000
1.380 4.991 0.004
0.000 1.539 6.321
Mo Os
1 5
Direct
0.000 0.001 0.001
0.333 0.335 0.665
0.668 0.664 0.335
0.275 0.450 0.055
0.613 0.774 0.721
0.945 0.110 0.389
```

=====

(3)
A plane-wave DFT calculation with GGA-PBE was carried out for a relaxed Dy2SiSe crystal.

Summary:
V in Å³ per cell: 98.9
Raw formation energy in eV per atom: -1.301
SG: R-3m (166)
Crystal system: trigonal
ΔE to the lowest computed polymorph in meV/atom: 11
N(E_F) in states/eV/atom: 0.315
Total energy in eV/cell: -23.3

Structure (POSCAR):
```
Dy2SiSe
1.0
-1.474 3.810 0.346
-3.689 0.626 1.674
1.156 2.035 6.804
Si Dy Se
1 2 1
Direct
0.000 0.000 0.000
0.745 0.745 0.764
0.255 0.255 0.236
0.500 0.500 0.500
```

=====

(4)
A plane-wave DFT calculation with GGA-PBE was carried out for a relaxed CeDyHo6 crystal.

Summary:
V in Å³ per cell: 247.7
SG: P4/mmm (123)
Crystal system: tetragonal
ΔE to the lowest computed polymorph in meV/atom: 0
E_form in meV per atom: 44
N(E_F) in states/eV/atom: 1.513
Total energy in eV/cell: -37.7

Structure (POSCAR):
```
CeDyHo6
1.0
4.988 0.000 0.000
0.000 4.988 0.000
0.000 0.000 9.955
Dy Ho Ce
1 6 1
Direct
0.000 0.000 0.000
0.500 0.000 0.251
0.500 0.500 0.000
0.500 0.500 0.500
0.500 0.000 0.749
0.000 0.500 0.251
0.000 0.500 0.749
0.000 0.000 0.500
```

=====

(5)
A plane-wave DFT calculation with GGA-PBE was carried out for a relaxed Zr2CuHg3 crystal.

Summary:
V in Å³ per cell: 121.1
SG: Pmm2 (25)
Crystal system: orthorhombic
E_form in meV per atom: -70
N(E_F) in states/eV/atom: 0.643
Total energy in eV/cell: -22.5

Structure (POSCAR):
```
Zr2CuHg3
1.0
-0.552 -1.952 2.342
4.649 -0.399 0.764
-0.314 6.381 5.244
Cu Zr Hg
1 2 3
Direct
0.500 0.500 0.329
0.000 0.500 0.015
0.000 0.000 0.491
0.500 0.000 0.180
0.500 0.000 0.836
0.500 0.500 0.649
```

=====

(6)
A plane-wave DFT calculation with GGA-PBE was carried out for a relaxed Cu2SeBr crystal.

Summary:
V in Å³ per cell: 76.0
Raw formation energy in eV per atom: 0.039
SG: P2/m (10)
Crystal system: monoclinic
ΔE to the lowest computed polymorph in meV/atom: 235
N(E_F) in states/eV/atom: 0.561
Total energy in eV/cell: -13.2

Structure (POSCAR):
```
Cu2SeBr
1.0
3.319 0.000 0.000
0.000 3.520 -0.009
0.000 -0.048 6.505
Cu Br Se
2 1 1
Direct
0.000 0.725 0.440
0.000 0.775 0.060
0.500 0.750 0.750
0.500 0.250 0.250
```

=====

(7)
A plane-wave DFT calculation with GGA-PBE was carried out for a relaxed Rb8Bi3O8 crystal.

Summary:
V in Å³ per cell: 535.4
Raw formation energy in eV per atom: -1.150
SG: P-1 (2)
Crystal system: triclinic
N(E_F) in states/eV/atom: 0.352
Total energy in eV/cell: -80.9

Structure (POSCAR):
```
Rb8Bi3O8
1.0
5.806 -0.025 -1.702
-0.723 8.457 -2.324
-0.073 -0.058 10.949
O Rb Bi
8 8 3
Direct
0.470 0.723 0.947
0.530 0.277 0.053
0.193 0.382 0.344
0.891 0.005 0.786
0.135 0.823 0.568
0.865 0.177 0.432
0.109 0.995 0.214
0.807 0.618 0.656
0.692 0.429 0.358
0.595 0.994 0.185
0.964 0.777 0.933
0.036 0.223 0.067
0.308 0.571 0.642
0.175 0.717 0.326
0.405 0.006 0.815
0.825 0.283 0.674
0.189 0.170 0.401
0.811 0.830 0.599
0.500 0.500 0.000
```

=====

(8)
A plane-wave DFT calculation with GGA-PBE was carried out for a relaxed SbPtSe2F crystal.

Summary:
V in Å³ per cell: 140.8
Raw formation energy in eV per atom: 0.603
SG: P4/mmm (123)
Crystal system: tetragonal
N(E_F) in states/eV/atom: 1.054
Total energy in eV/cell: -16.0

Structure (POSCAR):
```
SbPtSe2F
1.0
-1.266 -4.565 2.377
3.487 -2.561 -3.061
3.579 0.787 3.418
F Se Sb Pt
1 2 1 1
Direct
0.500 0.500 0.500
0.000 0.500 0.000
0.500 0.000 0.000
0.000 0.000 0.000
0.000 0.000 0.500
```

=====

(9)
A plane-wave DFT calculation with GGA-PBE was carried out for a relaxed Sb2PtAu crystal.

Summary:
V in Å³ per cell: 100.9
Raw formation energy in eV per atom: -0.081
SG: P2/m (10)
Crystal system: monoclinic
ΔE to the lowest computed polymorph in meV/atom: 133
N(E_F) in states/eV/atom: 0.313
Total energy in eV/cell: -17.9

Structure (POSCAR):
```
Sb2PtAu
1.0
-3.975 -1.250 -0.599
1.458 -3.645 -2.069
1.470 -6.018 2.796
Sb Au Pt
2 1 1
Direct
0.000 0.685 0.531
0.000 0.815 0.969
0.500 0.250 0.250
0.500 0.750 0.750
```

=====

(10)
A plane-wave DFT calculation with GGA-PBE was carried out for a relaxed Ni3HgTe3 crystal.

Summary:
V in Å³ per cell: 391.5
Raw formation energy in eV per atom: -0.099
SG: Cmcm (63)
Crystal system: orthorhombic
N(E_F) in states/eV/atom: 0.744
Total energy in eV/cell: -55.5

Structure (POSCAR):
```
Ni3HgTe3
1.0
-0.857 2.572 -3.372
-10.805 -3.429 0.130
5.846 8.382 4.908
Hg Ni Te
2 6 6
Direct
0.750 0.293 0.707
0.250 0.707 0.293
0.750 0.127 0.202
0.750 0.798 0.872
0.750 0.072 0.928
0.250 0.202 0.128
0.250 0.928 0.072
0.250 0.873 0.798
0.750 0.863 0.137
0.250 0.224 0.368
0.250 0.137 0.863
0.250 0.632 0.775
0.750 0.776 0.632
0.750 0.368 0.225
```

=====

(11)
A plane-wave DFT calculation with GGA-PBE was carried out for a relaxed Sr3Hg crystal.

Summary:
V in Å³ per cell: 159.8
SG: Fm-3m (225)
Crystal system: cubic
ΔE to the lowest computed polymorph in meV/atom: 209
E_form in meV per atom: -73
N(E_F) in states/eV/atom: 0.768
Total energy in eV/cell: -5.6

Structure (POSCAR):
```
Sr3Hg
1.0
6.092 0.000 0.000
3.046 5.276 0.000
3.046 1.759 4.974
Sr Hg
3 1
Direct
0.750 0.750 0.750
0.500 0.500 0.500
0.250 0.250 0.250
0.000 0.000 0.000
```

=====

(12)
A plane-wave DFT calculation with GGA-PBE was carried out for a relaxed Mn2SnC2 crystal.

Summary:
V in Å³ per cell: 138.9
SG: P4/mbm (127)
Crystal system: tetragonal
ΔE to the lowest computed polymorph in meV/atom: 331
E_form in meV per atom: 1001
N(E_F) in states/eV/atom: 0.585
Total energy in eV/cell: -71.6

Structure (POSCAR):
```
Mn2SnC2
1.0
-6.771 -0.914 -0.621
0.330 -5.354 4.276
-0.454 1.803 2.293
Mn C Sn
4 4 2
Direct
0.377 0.877 0.000
0.877 0.623 0.000
0.623 0.123 0.000
0.123 0.377 0.000
0.076 0.576 0.500
0.424 0.076 0.500
0.924 0.424 0.500
0.576 0.924 0.500
0.000 0.000 0.000
0.500 0.500 0.000
```

=====

(13)
A plane-wave DFT calculation with GGA-PBE was carried out for a relaxed YBeC crystal.

Summary:
V in Å³ per cell: 73.7
SG: P6_3/mmc (194)
Crystal system: hexagonal
ΔE to the lowest computed polymorph in meV/atom: 0
E_form in meV per atom: -265
N(E_F) in states/eV/atom: 0.429
Total energy in eV/cell: -40.4

Structure (POSCAR):
```
YBeC
1.0
3.344 0.000 0.000
-1.672 2.894 0.000
0.000 0.000 7.613
Be C Y
2 2 2
Direct
0.333 0.667 0.250
0.667 0.333 0.750
0.333 0.667 0.750
0.667 0.333 0.250
0.000 0.000 0.500
0.000 0.000 0.000
```

=====

(14)
A plane-wave DFT calculation with GGA-PBE was carried out for a relaxed Zn12Tc crystal.

Summary:
V in Å³ per cell: 190.1
SG: I4/mmm (139)
Crystal system: tetragonal
ΔE to the lowest computed polymorph in meV/atom: 68
E_form in meV per atom: 121
N(E_F) in states/eV/atom: 0.288
Total energy in eV/cell: -24.1

Structure (POSCAR):
```
Zn12Tc
1.0
6.621 0.006 0.000
-4.670 4.693 0.000
-0.975 -2.350 6.112
Zn Tc
12 1
Direct
0.708 0.500 0.208
0.655 0.000 0.655
0.292 0.500 0.792
0.500 0.292 0.792
0.345 0.000 0.345
0.500 0.708 0.208
0.000 0.345 0.345
0.000 0.000 0.500
0.000 0.655 0.655
0.500 0.500 0.500
0.000 0.500 0.000
0.500 0.000 0.000
0.000 0.000 0.000
```

=====

(15)
A plane-wave DFT calculation with GGA-PBE was carried out for a relaxed K2BeP crystal.

Summary:
V in Å³ per cell: 112.6
SG: R-3m (166)
Crystal system: trigonal
ΔE to the lowest computed polymorph in meV/atom: 1086
E_form in meV per atom: 843
N(E_F) in states/eV/atom: 0.820
Total energy in eV/cell: -8.0

Structure (POSCAR):
```
K2BeP
1.0
11.060 0.036 0.021
10.509 3.449 0.021
10.509 1.698 3.002
K P Be
2 1 1
Direct
0.992 0.992 0.992
0.508 0.508 0.508
0.250 0.250 0.250
0.750 0.750 0.750
```